GGA-PBE GaCu2Sn, relaxed; density of states at the Fermi level = 1.1 states/eV per cell; SG = P4/mmm, No. 123; E above lowest polymorph = 41 meV/atom; density = 8.0 g cm⁻³; energy of formation = 125 meV per atom
1.0
-2.8019 -2.6405 -0.8759
2.6330 -2.0026 -2.3854
1.1510 -2.2768 3.1819
Cu Sn Ga
2 1 1
Direct
0.0000 0.0000 0.5000
0.0000 0.5000 0.0000
0.5000 0.0000 0.0000
0.5000 0.5000 0.5000

GGA-PBE CeCo3B2, relaxed; density of states at the Fermi level = 4.7 states/eV per cell; SG = P6/mmm, No. 191; E above lowest polymorph = 0 meV/atom; density = 8.5 g cm⁻³; energy of formation = -489 meV per atom
1.0
-4.3983 -2.0120 -1.3552
3.1242 -2.5670 2.9798
-1.3146 1.2311 2.4389
Ce Co B
1 3 2
Direct
0.0000 0.0000 0.0000
0.5000 0.0000 0.5000
0.5000 0.5000 0.5000
0.0000 0.5000 0.5000
0.3333 0.6667 0.0000
0.6667 0.3333 0.0000

GGA-PBE Tb3TlP, relaxed; density of states at the Fermi level = 2.3 states/eV per cell; SG = Pm-3m, No. 221; E above lowest polymorph = 140 meV/atom; density = 8.0 g cm⁻³; energy of formation = -673 meV per atom
1.0
5.2811 0.0000 0.0000
0.0000 5.2811 0.0000
0.0000 0.0000 5.2811
P Tl Tb
1 1 3
Direct
0.0000 0.0000 0.0000
0.5000 0.5000 0.5000
0.0000 0.5000 0.0000
0.0000 0.0000 0.5000
0.5000 0.0000 0.0000

- Which of these has the lowest density of states at the Fermi level?
  GaCu2Sn

- Number 1 is which compound?
  GaCu2Sn

- Among the records above, which one has the highest energy of formation?
  GaCu2Sn

- What is the formula in the third record?
  Tb3TlP